# 1
# MgTaC2I

A relaxed MgTaC2I crystal (PBE, Alexandria).

Summary:
DOS(E_F)   5.531 states/eV/f.u.
Formation energy from raw total energies   2.5809 eV/atom
Symmetry   P4/mmm (123)

Cell lengths 4.110, 5.486, 4.110 Å; angles 90.00, 90.00, 90.00 degrees
Fractional coordinates of all 5 atoms:
I: 0.500 0.500 0.500
Mg: 0.000 0.000 0.000
C: 0.000 0.000 0.500
C: 0.500 0.000 0.000
Ta: 0.000 0.500 0.000


# 2
# PrThV

A relaxed PrThV crystal (PBE, Alexandria).

Summary:
DOS(E_F)   4.707 states/eV/f.u.
ΔE_f   0.2353 eV per atom
Symmetry   P4/nmm (129)

Cell lengths 3.421, 3.421, 13.556 Å; angles 90.00, 90.00, 90.00 degrees
Fractional coordinates of all 6 atoms:
Pr: 0.000 0.500 0.606
Pr: 0.500 0.000 0.394
Th: 0.500 0.000 0.810
Th: 0.000 0.500 0.190
V: 0.000 0.500 0.958
V: 0.500 0.000 0.042


# 3
# PmNd2ThPt2

A relaxed PmNd2ThPt2 crystal (PBE, Alexandria).

Summary:
DOS(E_F)   4.614 states/eV/f.u.
ΔE_f   -0.7277 eV per atom
Symmetry   Ibam (72)

Cell lengths 7.146, 7.127, 8.654 Å; angles 114.32, 114.39, 90.00 degrees
Fractional coordinates of all 12 atoms:
Pm: 0.250 0.000 0.000
Pm: 0.750 0.000 0.000
Nd: 0.694 0.914 0.388
Nd: 0.194 0.473 0.388
Nd: 0.806 0.527 0.612
Nd: 0.306 0.086 0.612
Th: 0.750 0.500 0.000
Th: 0.250 0.500 0.000
Pt: 0.395 0.629 0.790
Pt: 0.605 0.371 0.210
Pt: 0.105 0.839 0.210
Pt: 0.895 0.161 0.790


# 4
# CoHg2BiIr

A relaxed CoHg2BiIr crystal (PBE, Alexandria).

Summary:
DOS(E_F)   4.801 states/eV/f.u.
ΔE_f   1.0263 eV per atom
Symmetry   P4/mmm (123)

Cell lengths 4.889, 4.789, 4.889 Å; angles 90.00, 90.00, 90.00 degrees
Last column: magnetic moment on the atom in μB.
Fractional coordinates of all 5 atoms:
Ir: 0.500 0.500 0.500  0.39
Co: 0.000 0.000 0.000  0.04
Bi: 0.000 0.500 0.000  -0.01
Hg: 0.000 0.000 0.500  0.01
Hg: 0.500 0.000 0.000  0.00


# 5
# PmLu2In

A relaxed PmLu2In crystal (PBE, Alexandria).

Summary:
DOS(E_F)   6.432 states/eV/f.u.
ΔE_f   0.0710 eV per atom
Symmetry   R-3m (166)

Cell lengths 3.442, 3.442, 11.969 Å; angles 81.73, 81.73, 60.00 degrees
Fractional coordinates of all 4 atoms:
Lu: 0.096 0.096 0.712
Lu: 0.904 0.904 0.288
In: 0.500 0.500 0.500
Pm: 0.000 0.000 0.000


# 6
# Al2TlPt

A relaxed Al2TlPt crystal (PBE, Alexandria).

Summary:
DOS(E_F)   1.956 states/eV/f.u.
ΔE_f   0.0165 eV per atom
Symmetry   I-4m2 (119)

Cell lengths 5.170, 5.170, 5.170 Å; angles 132.75, 132.75, 69.04 degrees
Fractional coordinates of all 4 atoms:
Tl: 0.750 0.250 0.500
Al: 0.000 0.000 0.000
Al: 0.250 0.750 0.500
Pt: 0.500 0.500 0.000


# 7
# ZnIn2W

A relaxed ZnIn2W crystal (PBE, Alexandria).

Summary:
DOS(E_F)   0.950 states/eV/f.u.
ΔE_f   0.4972 eV per atom
Symmetry   C2/m (12)

Cell lengths 5.283, 5.283, 5.226 Å; angles 84.46, 84.46, 31.71 degrees
Fractional coordinates of all 4 atoms:
In: 0.012 0.012 0.995
In: 0.488 0.488 0.505
W: 0.750 0.750 0.750
Zn: 0.250 0.250 0.250


# 8
# TmTh2

A relaxed TmTh2 crystal (PBE, Alexandria).

Summary:
DOS(E_F)   5.185 states/eV/f.u.
ΔE_f   0.0442 eV per atom
Symmetry   Immm (71)

Cell lengths 4.951, 3.594, 6.148 Å; angles 107.03, 113.74, 90.00 degrees
Fractional coordinates of all 3 atoms:
Tm: 0.000 0.500 0.000
Th: 0.332 0.833 0.664
Th: 0.668 0.167 0.336


# 9
# DyTmNiAu

A relaxed DyTmNiAu crystal (PBE, Alexandria).

Summary:
DOS(E_F)   2.249 states/eV/f.u.
ΔE_f   -0.6600 eV per atom
Symmetry   Amm2 (38)

Cell lengths 3.717, 4.467, 5.566 Å; angles 90.00, 109.51, 90.00 degrees
Fractional coordinates of all 4 atoms:
Dy: 0.861 0.500 0.722
Tm: 0.141 0.000 0.282
Ni: 0.418 0.000 0.835
Au: 0.580 0.500 0.160


# 10
# LiZnRu2

A relaxed LiZnRu2 crystal (PBE, Alexandria).

Summary:
DOS(E_F)   3.051 states/eV/f.u.
ΔE_f   0.0499 eV per atom
Symmetry   Cm (8)

Cell lengths 4.544, 4.544, 4.701 Å; angles 82.77, 82.77, 34.89 degrees
Fractional coordinates of all 4 atoms:
Li: 0.247 0.247 0.277
Ru: 0.007 0.007 0.968
Ru: 0.751 0.751 0.784
Zn: 0.494 0.494 0.471


# 11
# La2Cu2S

A relaxed La2Cu2S crystal (PBE, Alexandria).

Summary:
DOS(E_F)   4.554 states/eV/f.u.
Formation energy from raw total energies   -0.6563 eV/atom
Symmetry   I4/mmm (139)

Cell lengths 3.565, 3.565, 8.972 Å; angles 78.54, 78.54, 90.00 degrees
Fractional coordinates of all 5 atoms:
S: 0.000 0.000 0.000
Cu: 0.750 0.250 0.500
Cu: 0.250 0.750 0.500
La: 0.397 0.397 0.206
La: 0.603 0.603 0.794


# 12
# V2CoCu

A relaxed V2CoCu crystal (PBE, Alexandria).

Summary:
DOS(E_F)   5.055 states/eV/f.u.
ΔE_f   0.3162 eV per atom
Symmetry   R-3m (166)

Cell lengths 2.527, 2.527, 9.410 Å; angles 82.28, 82.28, 60.00 degrees
Last column: magnetic moment on the atom in μB.
Fractional coordinates of all 4 atoms:
Co: 0.500 0.500 0.500  0.22
Cu: 0.000 0.000 0.000  0.00
V: 0.092 0.092 0.725  -0.03
V: 0.908 0.908 0.275  -0.03


Number 1: magnetization 0.00 μB/atom. Number 2: magnetization 0.00 μB/atom. Number 3: magnetization 0.00 μB/atom. Number 4: magnetization 0.09 μB/atom. Number 5: magnetization 0.00 μB/atom. Number 6: magnetization 0.00 μB/atom. Number 7: magnetization 0.00 μB/atom. Number 8: magnetization 0.00 μB/atom. Number 9: magnetization 0.00 μB/atom. Number 10: magnetization 0.00 μB/atom. Number 11: magnetization 0.00 μB/atom. Number 12: magnetization 0.04 μB/atom.